1.
A plane-wave DFT calculation with PBE was carried out for a geometry-optimized CsHoCdF6 structure.

The value obtained for the density of states at the Fermi level is 0.0 states/eV/cell. Its raw formation energy is -3194 meV/atom. Its calculated volume is 21.77 Å³ per atom.

The space group is Imma (No. 74) and the conventional cell measures 8.041, 8.313 and 11.722 Å, with angles of 90.00, 90.00 and 90.00 degrees. The distinct sites, in fractional coordinates, are Cs at (0.000, 0.250, 0.084), Ho at (0.000, 0.000, 0.500), Cd at (0.250, 0.250, 0.750), F at (0.000, 0.250, 0.441), F at (0.000, 0.250, 0.829) and F at (0.197, 0.051, 0.620).

2.
A plane-wave DFT calculation with PBE was carried out for a geometry-optimized Ac6Ir3Rh structure.

The value obtained for the density of states at the Fermi level is 10.4 states/eV/cell. As for the formation energy: -603 meV per atom. Its calculated volume is 32.32 Å³ per atom.

The space group is P2_1/m (No. 11) and the conventional cell measures 12.515, 4.371 and 12.605 Å, with angles of 90.00, 110.36 and 90.00 degrees. The distinct sites, in fractional coordinates, are Ac at (0.048, 0.250, 0.395), Ac at (0.103, 0.250, 0.939), Ac at (0.239, 0.750, 0.270), Ac at (0.287, 0.750, 0.755), Ac at (0.396, 0.250, 0.549), Ac at (0.429, 0.750, 0.097), Ir at (0.066, 0.250, 0.167), Ir at (0.205, 0.750, 0.501), Ir at (0.340, 0.250, 0.920) and Rh at (0.453, 0.250, 0.310).

- Number 1 is which compound?
  CsHoCdF6

- calculated volume of number 2 (Ac6Ir3Rh)?
  32.32 Å³ per atom

- Number 1 is which compound?
  CsHoCdF6